VASP calculation (PBE) on an optimized crystal structure of La5HgN.

Structure (CIF):
```
data_La5HgN
_cell_length_a 11.9479
_cell_length_b 6.9073
_cell_length_c 11.2147
_cell_angle_alpha 90.00
_cell_angle_beta 113.58
_cell_angle_gamma 90.00
_space_group_name_H-M_alt 'C 1 2/c 1'
_space_group_IT_number 15
loop_
_space_group_symop_operation_xyz
'x,y,z'
'-x,-y,-z'
'-x,y,-z+1/2'
'x,-y,z+1/2'
'x+1/2,y+1/2,z'
'-x+1/2,-y+1/2,-z'
'-x+1/2,y+1/2,-z+1/2'
'x+1/2,-y+1/2,z+1/2'
loop_
_atom_site_label
_atom_site_type_symbol
_atom_site_fract_x
_atom_site_fract_y
_atom_site_fract_z
_atom_site_occupancy
La1 La 0.0000 0.0301 0.2500 1
La2 La 0.1124 0.3081 0.0335 1
La3 La 0.2013 0.1551 0.6250 1
Hg1 Hg 0.0000 0.4913 0.7500 1
N1 N 0.0000 0.0000 0.0000 1
```

Summary:
formation energy from raw total energies	-0.47	eV/atom
total energy	-5.22	eV/atom
mass density	7.12	g cm⁻³